1.
The following is a PBE calculation of a geometry-optimized AgOsPb2 structure, from Alexandria. Values from VASP.

Geometry as Quantum ESPRESSO input:
```
&SYSTEM
  ibrav = 0, nat = 4, ntyp = 3
/
ATOMIC_SPECIES
Ag 107.87 Ag.upf
Os 190.23 Os.upf
Pb 207.20 Pb.upf
CELL_PARAMETERS angstrom
-2.1133 2.1133 4.7450
2.1133 -2.1133 4.7450
2.1133 2.1133 -4.7450
ATOMIC_POSITIONS crystal
Ag 0.0000 0.0000 0.0000
Os 0.2500 0.7500 0.5000
Pb 0.5000 0.5000 0.0000
Pb 0.7500 0.2500 0.5000
```

Summary:
* energy above the lowest structure with this stoichiometry: 0.79 eV/f.u.
* total moment: 0.00 μB/f.u.
* calculated total energy: -4.57 eV/atom


2.
The following is a PBE calculation of a geometry-optimized Sc2ZnTc structure, from Alexandria. Values from VASP.

Geometry as Quantum ESPRESSO input:
```
&SYSTEM
  ibrav = 0, nat = 4, ntyp = 3
/
ATOMIC_SPECIES
Sc 44.96 Sc.upf
Zn 65.41 Zn.upf
Tc 98.00 Tc.upf
CELL_PARAMETERS angstrom
3.3207 0.0000 0.0000
0.0000 3.3207 0.0000
0.0000 0.0000 6.5434
ATOMIC_POSITIONS crystal
Sc 0.0000 0.0000 0.2307
Sc 0.0000 0.0000 0.7693
Zn 0.5000 0.5000 0.5000
Tc 0.5000 0.5000 0.0000
```

Summary:
* total moment: 0.00 μB/f.u.
* calculated total energy: -6.39 eV/atom


Repeat the first record exactly.
The following is a PBE calculation of a geometry-optimized AgOsPb2 structure, from Alexandria. Values from VASP.

Geometry as Quantum ESPRESSO input:
```
&SYSTEM
  ibrav = 0, nat = 4, ntyp = 3
/
ATOMIC_SPECIES
Ag 107.87 Ag.upf
Os 190.23 Os.upf
Pb 207.20 Pb.upf
CELL_PARAMETERS angstrom
-2.1133 2.1133 4.7450
2.1133 -2.1133 4.7450
2.1133 2.1133 -4.7450
ATOMIC_POSITIONS crystal
Ag 0.0000 0.0000 0.0000
Os 0.2500 0.7500 0.5000
Pb 0.5000 0.5000 0.0000
Pb 0.7500 0.2500 0.5000
```

Summary:
* energy above the lowest structure with this stoichiometry: 0.79 eV/f.u.
* total moment: 0.00 μB/f.u.
* calculated total energy: -4.57 eV/atom


Among the records above, which one has the lowest calculated total energy? Sc2ZnTc


The highest calculated total energy belongs to which entry? AgOsPb2


Copy entry 2 word for word.
The following is a PBE calculation of a geometry-optimized Sc2ZnTc structure, from Alexandria. Values from VASP.

Geometry as Quantum ESPRESSO input:
```
&SYSTEM
  ibrav = 0, nat = 4, ntyp = 3
/
ATOMIC_SPECIES
Sc 44.96 Sc.upf
Zn 65.41 Zn.upf
Tc 98.00 Tc.upf
CELL_PARAMETERS angstrom
3.3207 0.0000 0.0000
0.0000 3.3207 0.0000
0.0000 0.0000 6.5434
ATOMIC_POSITIONS crystal
Sc 0.0000 0.0000 0.2307
Sc 0.0000 0.0000 0.7693
Zn 0.5000 0.5000 0.5000
Tc 0.5000 0.5000 0.0000
```

Summary:
* total moment: 0.00 μB/f.u.
* calculated total energy: -6.39 eV/atom